Record 1
## ScTiTc3 (SCAN)

Data for a crystal of ScTiTc3 relaxed with PBEsol.

Unit cell a=4.477 b=4.477 c=4.477 alpha=90.00 beta=90.00 gamma=90.00
Space group Pm-3m (No. 221)
One atom of each set of equivalent atoms:
Sc: 0.000 0.000 0.000 [1 per cell]
Ti: 0.500 0.500 0.500 [1 per cell]
Tc: 0.000 0.500 0.500 [3 per cell]

Computed properties:
Raw total energy, Ry per atom: -1.929

Record 2
## ScTlTc2 (SCAN)

Data for a crystal of ScTlTc2 relaxed with PBEsol.

Unit cell a=3.014 b=4.013 c=5.734 alpha=90.00 beta=95.39 gamma=90.00
Space group Pm (No. 6)
One atom of each set of equivalent atoms:
Sc: 0.000 0.000 0.000 [1 per cell]
Tl: 0.447 0.500 0.720 [1 per cell]
Tc: 0.496 0.500 0.242 [1 per cell]
Tc: 0.899 0.000 0.430 [1 per cell]

Computed properties:
Energy above the most stable polymorph in this dataset, meV per atom: 0

Record 3
## ScTlTc2 (SCAN)

Data for a crystal of ScTlTc2 relaxed with PBEsol.

Unit cell a=3.293 b=4.511 c=9.122 alpha=90.00 beta=90.00 gamma=90.00
Space group Immm (No. 71)
One atom of each set of equivalent atoms:
Sc: 0.000 0.000 0.000 [2 per cell]
Tl: 0.000 0.000 0.500 [2 per cell]
Tc: 0.000 0.500 0.259 [4 per cell]

Computed properties:
Energy above the most stable polymorph in this dataset, meV per atom: 206